# Tb4CeIn4 (PBE, relaxed)
data_Tb4CeIn4
_symmetry_space_group_name_H-M 'P 1'
_symmetry_Int_Tables_number 1
_cell_length_a 7.322
_cell_length_b 7.322
_cell_length_c 10.614
_cell_angle_alpha 90.00
_cell_angle_beta 90.00
_cell_angle_gamma 90.00
loop_
_symmetry_equiv_pos_as_xyz
'x,y,z'
loop_
_atom_site_label
_atom_site_type_symbol
_atom_site_fract_x
_atom_site_fract_y
_atom_site_fract_z
Tb1 Tb 0.000 0.733 0.410
Tb2 Tb 0.500 0.233 0.090
Tb3 Tb 0.500 0.767 0.090
Tb4 Tb 0.767 0.500 0.910
Tb5 Tb 0.267 0.000 0.590
Tb6 Tb 0.000 0.267 0.410
Tb7 Tb 0.233 0.500 0.910
Tb8 Tb 0.733 0.000 0.590
In1 In 0.711 0.000 0.293
In2 In 0.789 0.500 0.207
In3 In 0.500 0.789 0.793
In4 In 0.289 0.000 0.293
In5 In 0.000 0.289 0.707
In6 In 0.000 0.711 0.707
In7 In 0.500 0.211 0.793
In8 In 0.211 0.500 0.207
Ce1 Ce 0.000 0.000 0.000
Ce2 Ce 0.500 0.500 0.500
# - Space-group type: P4_2/nmc
# - ΔE_f: -0.13 eV per atom



# Th4AsPd15 (PBE, relaxed)
data_Th4AsPd15
_symmetry_space_group_name_H-M 'P 1'
_symmetry_Int_Tables_number 1
_cell_length_a 4.201
_cell_length_b 4.201
_cell_length_c 20.608
_cell_angle_alpha 90.00
_cell_angle_beta 90.00
_cell_angle_gamma 90.00
loop_
_symmetry_equiv_pos_as_xyz
'x,y,z'
loop_
_atom_site_label
_atom_site_type_symbol
_atom_site_fract_x
_atom_site_fract_y
_atom_site_fract_z
Pd1 Pd 0.500 0.000 0.092
Pd2 Pd 0.500 0.500 0.602
Pd3 Pd 0.500 0.500 0.195
Pd4 Pd 0.500 0.500 0.398
Pd5 Pd 0.500 0.000 0.296
Pd6 Pd 0.000 0.500 0.704
Pd7 Pd 0.500 0.000 0.908
Pd8 Pd 0.000 0.500 0.092
Pd9 Pd 0.500 0.500 0.000
Pd10 Pd 0.500 0.500 0.805
Pd11 Pd 0.500 0.000 0.704
Pd12 Pd 0.000 0.500 0.500
Pd13 Pd 0.000 0.500 0.908
Pd14 Pd 0.000 0.500 0.296
Pd15 Pd 0.500 0.000 0.500
Th1 Th 0.000 0.000 0.189
Th2 Th 0.000 0.000 0.811
Th3 Th 0.000 0.000 0.396
Th4 Th 0.000 0.000 0.604
As1 As 0.000 0.000 0.000
# - Space-group type: P4/mmm
# - ΔE_f: -0.78 eV per atom



# La3CoBr3 (PBE, relaxed)
data_La3CoBr3
_symmetry_space_group_name_H-M 'P 1'
_symmetry_Int_Tables_number 1
_cell_length_a 4.430
_cell_length_b 9.125
_cell_length_c 11.660
_cell_angle_alpha 94.79
_cell_angle_beta 90.00
_cell_angle_gamma 90.00
loop_
_symmetry_equiv_pos_as_xyz
'x,y,z'
loop_
_atom_site_label
_atom_site_type_symbol
_atom_site_fract_x
_atom_site_fract_y
_atom_site_fract_z
Br1 Br 0.750 0.114 0.124
Br2 Br 0.750 0.612 0.630
Br3 Br 0.250 0.388 0.370
Br4 Br 0.250 0.886 0.876
Br5 Br 0.750 0.647 0.110
Br6 Br 0.250 0.353 0.890
La1 La 0.750 0.119 0.836
La2 La 0.750 0.670 0.371
La3 La 0.250 0.900 0.596
La4 La 0.250 0.881 0.164
La5 La 0.250 0.330 0.629
La6 La 0.750 0.100 0.404
Co1 Co 0.250 0.877 0.367
Co2 Co 0.750 0.123 0.633
# - Space-group type: P2_1/m
# - Uncorrected formation energy: -1.283 eV/atom



# Dy3SiTeCl (PBE, relaxed)
data_Dy3SiTeCl
_symmetry_space_group_name_H-M 'P 1'
_symmetry_Int_Tables_number 1
_cell_length_a 4.134
_cell_length_b 8.621
_cell_length_c 9.787
_cell_angle_alpha 93.88
_cell_angle_beta 90.00
_cell_angle_gamma 90.00
loop_
_symmetry_equiv_pos_as_xyz
'x,y,z'
loop_
_atom_site_label
_atom_site_type_symbol
_atom_site_fract_x
_atom_site_fract_y
_atom_site_fract_z
Te1 Te 0.250 0.135 0.181
Te2 Te 0.750 0.865 0.819
Dy1 Dy 0.250 0.663 0.423
Dy2 Dy 0.250 0.138 0.862
Dy3 Dy 0.750 0.404 0.151
Dy4 Dy 0.750 0.862 0.138
Dy5 Dy 0.750 0.337 0.577
Dy6 Dy 0.250 0.596 0.849
Si1 Si 0.250 0.634 0.142
Si2 Si 0.750 0.366 0.858
Cl1 Cl 0.750 0.865 0.426
Cl2 Cl 0.250 0.135 0.574
# - Space-group type: P2_1/m
# - Uncorrected formation energy: -1.120 eV/atom



Asked for total energy across the records above, the calculation gives -73.16; -127.80; -71.77; -61.88 eV for the cell shown in order.